DFT (PBE-GGA) results for a relaxed structure of Be3CdSi.

```
data_Be3CdSi
_cell_length_a 4.283
_cell_length_b 4.283
_cell_length_c 4.283
_cell_angle_alpha 90.00
_cell_angle_beta 90.00
_cell_angle_gamma 90.00
_space_group_name_H-M_alt 'P 1'
_space_group_IT_number 1
loop_
_space_group_symop_operation_xyz
'x,y,z'
loop_
_atom_site_label
_atom_site_type_symbol
_atom_site_fract_x
_atom_site_fract_y
_atom_site_fract_z
Be1 Be 0.000 0.500 0.000
Be2 Be 0.000 0.000 0.500
Be3 Be 0.500 0.000 0.000
Si1 Si 0.000 0.000 0.000
Cd1 Cd 0.500 0.500 0.500
```

M_tot	0.00	μB per atom
formation energy without anion corrections	827	meV/atom
DOS(E_F)	2.5	states/eV/f.u.